No. 1
! Y4Ru6O19 PBE optimized geometry; values from VASP
&SYSTEM
  ibrav = 0, nat = 29, ntyp = 3
/
ATOMIC_SPECIES
Y 88.91 Y.upf
Ru 101.07 Ru.upf
O 16.00 O.upf
ATOMIC_POSITIONS crystal
Y 0.000 0.000 0.297
Y 0.000 0.297 0.000
Y 0.297 0.000 0.000
Y 0.703 0.703 0.703
Ru 0.139 0.500 0.639
Ru 0.361 0.861 0.500
Ru 0.500 0.361 0.861
Ru 0.500 0.639 0.139
Ru 0.639 0.139 0.500
Ru 0.861 0.500 0.361
O 0.000 0.000 0.000
O 0.000 0.319 0.319
O 0.000 0.681 0.681
O 0.055 0.730 0.350
O 0.270 0.326 0.620
O 0.295 0.674 0.945
O 0.319 0.000 0.319
O 0.319 0.319 0.000
O 0.326 0.620 0.270
O 0.350 0.055 0.730
O 0.380 0.705 0.650
O 0.620 0.270 0.326
O 0.650 0.380 0.705
O 0.674 0.945 0.295
O 0.681 0.000 0.681
O 0.681 0.681 0.000
O 0.705 0.650 0.380
O 0.730 0.350 0.055
O 0.945 0.295 0.674
CELL_PARAMETERS angstrom
-4.483 4.483 4.483
4.483 -4.483 4.483
4.483 4.483 -4.483
! - E_form (uncorrected) (eV per atom) = -1.765
! - crystal system = cubic
! - uncorrected energy (eV per cell) = -226.91

---

No. 2
! Y6RuO12 PBE optimized geometry; values from VASP
&SYSTEM
  ibrav = 0, nat = 19, ntyp = 3
/
ATOMIC_SPECIES
Y 88.91 Y.upf
Ru 101.07 Ru.upf
O 16.00 O.upf
ATOMIC_POSITIONS crystal
Y 0.111 0.813 0.643
Y 0.187 0.357 0.889
Y 0.357 0.889 0.187
Y 0.643 0.111 0.813
Y 0.813 0.643 0.111
Y 0.889 0.187 0.357
Ru 0.500 0.500 0.500
O 0.066 0.908 0.323
O 0.092 0.677 0.934
O 0.203 0.428 0.535
O 0.323 0.066 0.908
O 0.428 0.535 0.203
O 0.465 0.797 0.572
O 0.535 0.203 0.428
O 0.572 0.465 0.797
O 0.677 0.934 0.092
O 0.797 0.572 0.465
O 0.908 0.323 0.066
O 0.934 0.092 0.677
CELL_PARAMETERS angstrom
4.917 2.839 3.138
-4.917 2.839 3.138
0.000 -5.678 3.138
! - E_form (uncorrected) (eV per atom) = -2.976
! - crystal system = trigonal
! - uncorrected energy (eV per cell) = -164.09

---

No. 3
! Y3Ru5O12 PBE optimized geometry; values from VASP
&SYSTEM
  ibrav = 0, nat = 80, ntyp = 3
/
ATOMIC_SPECIES
Y 88.91 Y.upf
Ru 101.07 Ru.upf
O 16.00 O.upf
ATOMIC_POSITIONS crystal
Y 0.125 0.250 0.375
Y 0.125 0.375 0.750
Y 0.250 0.375 0.125
Y 0.250 0.875 0.625
Y 0.375 0.125 0.250
Y 0.375 0.750 0.125
Y 0.625 0.250 0.875
Y 0.625 0.875 0.750
Y 0.750 0.125 0.375
Y 0.750 0.625 0.875
Y 0.875 0.625 0.250
Y 0.875 0.750 0.625
Ru 0.000 0.000 0.000
Ru 0.000 0.000 0.500
Ru 0.000 0.500 0.000
Ru 0.000 0.500 0.500
Ru 0.125 0.750 0.875
Ru 0.125 0.875 0.250
Ru 0.250 0.125 0.875
Ru 0.250 0.625 0.375
Ru 0.375 0.250 0.625
Ru 0.375 0.625 0.750
Ru 0.500 0.000 0.000
Ru 0.500 0.000 0.500
Ru 0.500 0.500 0.000
Ru 0.500 0.500 0.500
Ru 0.625 0.375 0.250
Ru 0.625 0.750 0.375
Ru 0.750 0.375 0.625
Ru 0.750 0.875 0.125
Ru 0.875 0.125 0.750
Ru 0.875 0.250 0.125
O 0.037 0.209 0.130
O 0.037 0.328 0.907
O 0.079 0.709 0.672
O 0.079 0.870 0.407
O 0.093 0.630 0.421
O 0.093 0.963 0.672
O 0.130 0.037 0.209
O 0.130 0.593 0.921
O 0.172 0.209 0.579
O 0.172 0.463 0.593
O 0.209 0.130 0.037
O 0.209 0.579 0.172
O 0.291 0.328 0.921
O 0.291 0.463 0.370
O 0.328 0.907 0.037
O 0.328 0.921 0.291
O 0.370 0.291 0.463
O 0.370 0.579 0.907
O 0.407 0.079 0.870
O 0.407 0.828 0.537
O 0.421 0.093 0.630
O 0.421 0.828 0.791
O 0.463 0.370 0.291
O 0.463 0.593 0.172
O 0.537 0.407 0.828
O 0.537 0.630 0.709
O 0.579 0.172 0.209
O 0.579 0.907 0.370
O 0.593 0.172 0.463
O 0.593 0.921 0.130
O 0.630 0.421 0.093
O 0.630 0.709 0.537
O 0.672 0.079 0.709
O 0.672 0.093 0.963
O 0.709 0.537 0.630
O 0.709 0.672 0.079
O 0.791 0.421 0.828
O 0.791 0.870 0.963
O 0.828 0.537 0.407
O 0.828 0.791 0.421
O 0.870 0.407 0.079
O 0.870 0.963 0.791
O 0.907 0.037 0.328
O 0.907 0.370 0.579
O 0.921 0.130 0.593
O 0.921 0.291 0.328
O 0.963 0.672 0.093
O 0.963 0.791 0.870
CELL_PARAMETERS angstrom
-6.338 6.338 6.338
6.338 -6.338 6.338
6.338 6.338 -6.338
! - E_form (uncorrected) (eV per atom) = -1.555
! - crystal system = cubic
! - uncorrected energy (eV per cell) = -625.45

---

No. 4
! Y3RuO PBE optimized geometry; values from VASP
&SYSTEM
  ibrav = 0, nat = 5, ntyp = 3
/
ATOMIC_SPECIES
Y 88.91 Y.upf
Ru 101.07 Ru.upf
O 16.00 O.upf
ATOMIC_POSITIONS crystal
Y 0.000 0.000 0.500
Y 0.000 0.500 0.000
Y 0.500 0.000 0.000
Ru 0.500 0.500 0.500
O 0.000 0.000 0.000
CELL_PARAMETERS angstrom
4.673 0.000 0.000
0.000 4.673 0.000
0.000 0.000 4.673
! - E_form (uncorrected) (eV per atom) = -1.147
! - crystal system = cubic
! - uncorrected energy (eV per cell) = -39.36

---

No. 5
! YRuO4 PBE optimized geometry; values from VASP
&SYSTEM
  ibrav = 0, nat = 24, ntyp = 3
/
ATOMIC_SPECIES
Y 88.91 Y.upf
Ru 101.07 Ru.upf
O 16.00 O.upf
ATOMIC_POSITIONS crystal
Y 0.148 0.216 0.394
Y 0.148 0.284 0.894
Y 0.852 0.716 0.106
Y 0.852 0.784 0.606
Ru 0.342 0.731 0.200
Ru 0.342 0.769 0.700
Ru 0.658 0.231 0.300
Ru 0.658 0.269 0.800
O 0.113 0.515 0.173
O 0.113 0.985 0.673
O 0.182 0.006 0.125
O 0.182 0.494 0.625
O 0.334 0.634 0.945
O 0.334 0.866 0.445
O 0.438 0.098 0.808
O 0.438 0.402 0.308
O 0.562 0.598 0.692
O 0.562 0.902 0.192
O 0.666 0.134 0.555
O 0.666 0.366 0.055
O 0.818 0.506 0.375
O 0.818 0.994 0.875
O 0.887 0.015 0.327
O 0.887 0.485 0.827
CELL_PARAMETERS angstrom
7.594 0.000 0.000
0.000 5.302 0.000
-1.231 0.000 7.319
! - E_form (uncorrected) (eV per atom) = -1.995
! - crystal system = monoclinic
! - uncorrected energy (eV per cell) = -190.16

---

No. 6
! YRu2O PBE optimized geometry; values from VASP
&SYSTEM
  ibrav = 0, nat = 16, ntyp = 3
/
ATOMIC_SPECIES
Y 88.91 Y.upf
Ru 101.07 Ru.upf
O 16.00 O.upf
ATOMIC_POSITIONS crystal
Y 0.000 0.000 0.000
Y 0.000 0.500 0.250
Y 0.500 0.000 0.750
Y 0.500 0.500 0.500
Ru 0.014 0.250 0.625
Ru 0.250 0.514 0.875
Ru 0.250 0.986 0.375
Ru 0.486 0.250 0.125
Ru 0.514 0.750 0.125
Ru 0.750 0.014 0.375
Ru 0.750 0.486 0.875
Ru 0.986 0.750 0.625
O 0.000 0.000 0.500
O 0.000 0.500 0.750
O 0.500 0.000 0.250
O 0.500 0.500 0.000
CELL_PARAMETERS angstrom
4.749 0.000 0.000
0.000 4.749 0.000
0.000 0.000 13.317
! - E_form (uncorrected) (eV per atom) = -0.176
! - crystal system = tetragonal
! - uncorrected energy (eV per cell) = -122.71

---

No. 7
! Y3RuO6 PBE optimized geometry; values from VASP
&SYSTEM
  ibrav = 0, nat = 20, ntyp = 3
/
ATOMIC_SPECIES
Y 88.91 Y.upf
Ru 101.07 Ru.upf
O 16.00 O.upf
ATOMIC_POSITIONS crystal
Y 0.100 0.613 0.785
Y 0.215 0.900 0.387
Y 0.387 0.215 0.900
Y 0.613 0.785 0.100
Y 0.785 0.100 0.613
Y 0.900 0.387 0.215
Ru 0.000 0.000 0.000
Ru 0.500 0.500 0.500
O 0.065 0.305 0.920
O 0.080 0.935 0.695
O 0.195 0.554 0.439
O 0.305 0.920 0.065
O 0.439 0.195 0.554
O 0.446 0.561 0.805
O 0.554 0.439 0.195
O 0.561 0.805 0.446
O 0.695 0.080 0.935
O 0.805 0.446 0.561
O 0.920 0.065 0.305
O 0.935 0.695 0.080
CELL_PARAMETERS angstrom
4.916 2.838 3.203
-4.916 2.838 3.203
0.000 -5.676 3.203
! - E_form (uncorrected) (eV per atom) = -2.812
! - crystal system = trigonal
! - uncorrected energy (eV per cell) = -173.07

---

No. 8
! YRuO4 PBE optimized geometry; values from VASP
&SYSTEM
  ibrav = 0, nat = 12, ntyp = 3
/
ATOMIC_SPECIES
Y 88.91 Y.upf
Ru 101.07 Ru.upf
O 16.00 O.upf
ATOMIC_POSITIONS crystal
Y 0.139 0.861 0.750
Y 0.861 0.139 0.250
Ru 0.428 0.572 0.250
Ru 0.572 0.428 0.750
O 0.167 0.563 0.365
O 0.208 0.294 0.768
O 0.294 0.208 0.268
O 0.437 0.833 0.135
O 0.563 0.167 0.865
O 0.706 0.792 0.732
O 0.792 0.706 0.232
O 0.833 0.437 0.635
CELL_PARAMETERS angstrom
3.361 -5.382 0.000
3.361 5.382 0.000
-2.817 0.000 4.023
! - E_form (uncorrected) (eV per atom) = -1.916
! - crystal system = monoclinic
! - uncorrected energy (eV per cell) = -94.13

---

No. 9
! YZnRu2O PBE optimized geometry; values from VASP
&SYSTEM
  ibrav = 0, nat = 5, ntyp = 4
/
ATOMIC_SPECIES
Y 88.91 Y.upf
Zn 65.41 Zn.upf
Ru 101.07 Ru.upf
O 16.00 O.upf
ATOMIC_POSITIONS crystal
Y 0.000 0.000 0.000
Zn 0.500 0.500 0.500
Ru 0.000 0.500 0.500
Ru 0.500 0.000 0.500
O 0.500 0.500 0.000
CELL_PARAMETERS angstrom
4.857 0.000 0.000
0.000 4.857 0.000
0.000 0.000 3.769
! - E_form (uncorrected) (eV per atom) = 0.498
! - crystal system = tetragonal
! - uncorrected energy (eV per cell) = -28.76

---

No. 10
! YZnRu2O PBE optimized geometry; values from VASP
&SYSTEM
  ibrav = 0, nat = 5, ntyp = 4
/
ATOMIC_SPECIES
Y 88.91 Y.upf
Zn 65.41 Zn.upf
Ru 101.07 Ru.upf
O 16.00 O.upf
ATOMIC_POSITIONS crystal
Y 0.000 0.000 0.000
Zn 0.000 0.000 0.500
Ru 0.000 0.500 0.000
Ru 0.500 0.000 0.000
O 0.500 0.500 0.500
CELL_PARAMETERS angstrom
4.916 0.000 0.000
0.000 4.916 0.000
0.000 0.000 5.552
! - E_form (uncorrected) (eV per atom) = 2.038
! - crystal system = tetragonal
! - uncorrected energy (eV per cell) = -21.06

---

No. 11
! Yb2Ru2O7 PBE optimized geometry; values from VASP
&SYSTEM
  ibrav = 0, nat = 22, ntyp = 3
/
ATOMIC_SPECIES
Yb 173.04 Yb.upf
Ru 101.07 Ru.upf
O 16.00 O.upf
ATOMIC_POSITIONS crystal
Yb 0.000 0.000 0.000
Yb 0.000 0.000 0.500
Yb 0.000 0.500 0.000
Yb 0.500 0.000 0.000
Ru 0.000 0.500 0.500
Ru 0.500 0.000 0.500
Ru 0.500 0.500 0.000
Ru 0.500 0.500 0.500
O 0.125 0.125 0.125
O 0.173 0.173 0.577
O 0.173 0.577 0.173
O 0.173 0.577 0.577
O 0.423 0.423 0.827
O 0.423 0.827 0.423
O 0.423 0.827 0.827
O 0.577 0.173 0.173
O 0.577 0.173 0.577
O 0.577 0.577 0.173
O 0.827 0.423 0.423
O 0.827 0.423 0.827
O 0.827 0.827 0.423
O 0.875 0.875 0.875
CELL_PARAMETERS angstrom
0.000 5.128 5.128
5.128 0.000 5.128
5.128 5.128 0.000
! - E_form (uncorrected) (eV per atom) = -1.869
! - crystal system = cubic
! - uncorrected energy (eV per cell) = -153.73

---

No. 12
! ZnRu2O PBE optimized geometry; values from VASP
&SYSTEM
  ibrav = 0, nat = 16, ntyp = 3
/
ATOMIC_SPECIES
Zn 65.41 Zn.upf
Ru 101.07 Ru.upf
O 16.00 O.upf
ATOMIC_POSITIONS crystal
Zn 0.000 0.000 0.000
Zn 0.000 0.500 0.250
Zn 0.500 0.000 0.750
Zn 0.500 0.500 0.500
Ru 0.156 0.250 0.625
Ru 0.250 0.656 0.875
Ru 0.250 0.844 0.375
Ru 0.344 0.250 0.125
Ru 0.656 0.750 0.125
Ru 0.750 0.156 0.375
Ru 0.750 0.344 0.875
Ru 0.844 0.750 0.625
O 0.000 0.000 0.500
O 0.000 0.500 0.750
O 0.500 0.000 0.250
O 0.500 0.500 0.000
CELL_PARAMETERS angstrom
6.378 0.000 0.000
0.000 6.378 0.000
0.000 0.000 5.248
! - E_form (uncorrected) (eV per atom) = 0.183
! - crystal system = tetragonal
! - uncorrected energy (eV per cell) = -96.20

---

Q: What is the formula in the seventh record?
A: Y3RuO6